TcIr2Ru | GGA-PBE | relaxed

Results
As for the formation energy: 0.3352 eV/atom. Its magnetization is 0.27 μB per cell. The raw total energy comes out at -36.0 eV for the cell shown. Its space group is No. 99.

Lattice parameters (Å, degrees): 3.300 3.300 5.442 90.00 90.00 90.00
Site moments in Bohr magnetons follow the coordinates.
Element x y z (fractional)
Ir (0.000, 0.000, 0.002)  -0.09
Ir (0.500, 0.500, 0.249)  0.03
Ru (0.000, 0.000, 0.498)  0.40
Tc (0.500, 0.500, 0.751)  -0.07